Record 1
An optimized crystal structure of KIn12Cu4. Source: the Alexandria database, functional GGA-PBE.

abc: 8.2989 8.2989 8.2989
angles: 109.47 109.47 109.47
Closest atoms and distances in Å follow each position.
Positions (direct):
K 0.0000 0.0000 0.0000  12 In 3.61
Cu 0.5000 0.5000 0.5000  6 In 2.66
Cu 0.0000 0.0000 0.5000  6 In 2.66
In 0.1707 0.8327 0.3380  2 Cu 2.66
Cu 0.0000 0.5000 0.0000  6 In 2.66
In 0.6620 0.8293 0.1673  2 Cu 2.66
Cu 0.5000 0.0000 0.0000  6 In 2.66
In 0.4947 0.8327 0.6620  2 Cu 2.66
In 0.8327 0.3380 0.1707  2 Cu 2.66
In 0.1673 0.3380 0.5053  2 Cu 2.66
In 0.3380 0.1707 0.8327  2 Cu 2.66
In 0.3380 0.5053 0.1673  2 Cu 2.66
In 0.6620 0.4947 0.8327  2 Cu 2.66
In 0.8327 0.6620 0.4947  2 Cu 2.66
In 0.8293 0.1673 0.6620  2 Cu 2.66
In 0.5053 0.1673 0.3380  2 Cu 2.66
In 0.1673 0.6620 0.8293  2 Cu 2.66

total magnetic moment = 0.000 μB per atom
energy of formation from the pure elements = 1.39 eV/f.u.

---

Record 2
An optimized crystal structure of PuBiPd6. Source: the Alexandria database, functional GGA-PBE.

abc: 4.8408 5.8399 5.8399
angles: 119.99 90.00 90.00
Closest atoms and distances in Å follow each position.
Positions (direct):
Pd 0.0000 0.5873 0.9238  8 Pd 2.86-2.99, 2 Pu 2.92, 2 Bi 2.97
Pd 0.0000 0.0762 0.4127  8 Pd 2.86-2.99, 2 Pu 2.92, 2 Bi 2.97
Pd 0.5000 0.9131 0.0869  8 Pd 2.85-2.99, 2 Bi 2.92, 2 Pu 2.97
Pd 0.5000 0.4259 0.0884  8 Pd 2.84-3.00, 2 Bi 2.92, 2 Pu 2.98
Bi 0.5000 0.4160 0.5840  12 Pd 2.92-2.97
Pu 0.0000 0.0838 0.9162  12 Pd 2.92-2.98
Pd 0.5000 0.9116 0.5741  8 Pd 2.84-3.00, 2 Bi 2.92, 2 Pu 2.98
Pd 0.0000 0.5859 0.4141  8 Pd 2.87-2.97, 2 Pu 2.92, 2 Bi 2.97

total magnetic moment = 0.591 μB per atom
energy of formation from the pure elements = -2.79 eV/f.u.
relative energy among the computed polymorphs = 0.044 eV/atom

---

Record 3
An optimized crystal structure of HoTaOs. Source: the Alexandria database, functional GGA-PBE.

abc: 4.4486 4.4486 6.6854
angles: 90.00 90.00 90.00
Closest atoms and distances in Å follow each position.
Positions (direct):
Os 0.0000 0.5000 0.2984  4 Ta 2.60
Os 0.5000 0.0000 0.7016  4 Ta 2.60
Ho 0.0000 0.5000 0.8577  1 Os 2.95, 4 Ta 3.27
Ta 0.0000 0.0000 0.5000  4 Os 2.60
Ho 0.5000 0.0000 0.1423  1 Os 2.95, 4 Ta 3.27
Ta 0.5000 0.5000 0.5000  4 Os 2.60

total magnetic moment = 0.000 μB per atom
energy of formation from the pure elements = -0.72 eV/f.u.
relative energy among the computed polymorphs = 0.000 eV/atom

---

Record 4
An optimized crystal structure of LuZnSnIr. Source: the Alexandria database, functional GGA-PBE.

abc: 4.7233 4.7233 4.7233
angles: 60.00 60.00 60.00
Closest atoms and distances in Å follow each position.
Positions (direct):
Sn 0.2500 0.2500 0.2500  4 Ir 2.89, 4 Zn 2.89
Zn 0.0000 0.0000 0.0000  4 Sn 2.89, 4 Lu 2.89
Lu 0.7500 0.7500 0.7500  4 Ir 2.89, 4 Zn 2.89
Ir 0.5000 0.5000 0.5000  4 Lu 2.89, 4 Sn 2.89

total magnetic moment = 0.009 μB per atom
energy of formation from the pure elements = -1.65 eV/f.u.